A crystal of SrBr3O relaxed with PBEsol. Source: Alexandria, functional meta-GGA SCAN.

Output
The total energy comes out at -18.189 eV/atom. As for the raw formation energy: -0.81 eV per atom. For the density of states at the Fermi level, the calculation gives 0.472 states/eV/atom. The mass density is 5.0 g/cm³. The calculation puts the spin magnetization at 0.001 μB per atom.

Unit cell a=4.8336 b=4.8336 c=4.8336 alpha=90.00 beta=90.00 gamma=90.00
Last column: nearest neighbours and their distance in Å.
Atoms (fractional coordinates):
Br 0.0000 0.5000 0.0000  2 O 2.42
O 0.0000 0.0000 0.0000  6 Br 2.42
Sr 0.5000 0.5000 0.5000  12 Br 3.42
Br 0.0000 0.0000 0.5000  2 O 2.42
Br 0.5000 0.0000 0.0000  2 O 2.42

***

A crystal of LaTa2Se relaxed with PBEsol. Source: Alexandria, functional meta-GGA SCAN.

Output
The total energy comes out at -48.771 eV/atom. As for the raw formation energy: 0.32 eV per atom. For the density of states at the Fermi level, the calculation gives 0.808 states/eV/atom. The mass density is 11.8 g/cm³. The calculation puts the spin magnetization at 0.000 μB per atom.

Unit cell a=4.6163 b=5.0294 c=4.6163 alpha=62.68 beta=90.00 gamma=117.32
Last column: nearest neighbours and their distance in Å.
Atoms (fractional coordinates):
Ta 0.2500 0.5000 0.2500  4 Ta 3.00, 4 La 3.00, 4 Se 3.26
Se 0.7500 0.5000 0.7500  4 La 3.00, 8 Ta 3.00-3.26
La 0.5000 0.0000 0.5000  4 Se 3.00, 8 Ta 3.00-3.26
Ta 0.0000 0.0000 0.0000  4 Ta 3.00, 4 Se 3.00, 4 La 3.26

***

A crystal of SrCrHg3 relaxed with PBEsol. Source: Alexandria, functional meta-GGA SCAN.

Output
The total energy comes out at -49.199 eV/atom. For the density of states at the Fermi level, the calculation gives 0.563 states/eV/atom. The mass density is 9.0 g/cm³. As for the formation energy: -0.168 eV/atom. The calculation puts the spin magnetization at 0.758 μB per atom.

Unit cell a=5.1532 b=5.1532 c=5.1532 alpha=90.00 beta=90.00 gamma=90.00
Last column: nearest neighbours and their distance in Å.
Atoms (fractional coordinates):
Hg 0.5000 0.0000 0.0000  2 Cr 2.58
Cr 0.0000 0.0000 0.0000  6 Hg 2.58
Hg 0.0000 0.0000 0.5000  2 Cr 2.58
Sr 0.5000 0.5000 0.5000  12 Hg 3.64
Hg 0.0000 0.5000 0.0000  2 Cr 2.58

***

A crystal of LaMgRh3 relaxed with PBEsol. Source: Alexandria, functional meta-GGA SCAN.

Output
The total energy comes out at -29.821 eV/atom. For the density of states at the Fermi level, the calculation gives 1.051 states/eV/atom. The mass density is 8.2 g/cm³. As for the formation energy: 0.057 eV/atom. The calculation puts the spin magnetization at 0.001 μB per atom.

Unit cell a=4.5631 b=4.5631 c=4.5631 alpha=90.00 beta=90.00 gamma=90.00
Last column: nearest neighbours and their distance in Å.
Atoms (fractional coordinates):
Rh 0.0000 0.5000 0.0000  2 Mg 2.28
Mg 0.0000 0.0000 0.0000  6 Rh 2.28
Rh 0.0000 0.0000 0.5000  2 Mg 2.28
La 0.5000 0.5000 0.5000  12 Rh 3.23
Rh 0.5000 0.0000 0.0000  2 Mg 2.28

***

A crystal of BaB3Br relaxed with PBEsol. Source: Alexandria, functional meta-GGA SCAN.

Output
The total energy comes out at -13.482 eV/atom. As for the raw formation energy: 2.78 eV per atom. For the density of states at the Fermi level, the calculation gives 1.044 states/eV/atom. The mass density is 2.9 g/cm³. The calculation puts the spin magnetization at 0.224 μB per atom.

Unit cell a=5.2150 b=5.2150 c=5.2150 alpha=90.00 beta=90.00 gamma=90.00
Last column: nearest neighbours and their distance in Å.
Atoms (fractional coordinates):
B 0.0000 0.0000 0.5000  2 Ba 2.61
B 0.5000 0.0000 0.0000  2 Ba 2.61
B 0.0000 0.5000 0.0000  2 Ba 2.61
Ba 0.0000 0.0000 0.0000  6 B 2.61
Br 0.5000 0.5000 0.5000  12 B 3.69

***

A crystal of CrCuP2O8 relaxed with PBEsol. Source: Alexandria, functional meta-GGA SCAN.

Output
The total energy comes out at -10.766 eV/atom. As for the raw formation energy: -2.08 eV per atom. For the density of states at the Fermi level, the calculation gives 0.035 states/eV/atom. The mass density is 3.8 g/cm³. The calculation puts the spin magnetization at 0.248 μB per atom.

Unit cell a=4.7439 b=5.7502 c=9.6990 alpha=90.00 beta=92.45 gamma=90.00
Last column: nearest neighbours and their distance in Å.
Atoms (fractional coordinates):
O 0.3224 0.2500 0.4361  1 P 1.54
O 0.2765 0.0322 0.6619  1 P 1.57
Cu 0.0975 0.7500 0.2158  4 O 1.86-1.98
O 0.8579 0.7500 0.0567  1 P 1.51
O 0.2771 0.0498 0.1727  1 P 1.58
Cr 0.4512 0.7500 0.7198  6 O 1.89-1.99
O 0.6776 0.7500 0.5639  1 P 1.54
O 0.7297 0.2500 0.6086  1 P 1.52
O 0.7229 0.9502 0.8273  1 P 1.58
P 0.1016 0.2500 0.0972  4 O 1.51-1.58
O 0.2703 0.7500 0.3914  1 P 1.52
P 0.8984 0.7500 0.9028  4 O 1.51-1.58
O 0.2771 0.4502 0.1727  1 P 1.58
Cr 0.5488 0.2500 0.2802  6 O 1.89-1.99
O 0.7911 0.2500 0.1291  1 P 1.52
O 0.2765 0.4678 0.6619  1 P 1.57
O 0.7235 0.9678 0.3381  1 P 1.57
Cu 0.9025 0.2500 0.7842  4 O 1.86-1.98
O 0.7229 0.5498 0.8273  1 P 1.58
O 0.1421 0.2500 0.9433  1 P 1.51
P 0.5910 0.7500 0.4093  4 O 1.52-1.57
O 0.2089 0.7500 0.8709  1 P 1.52
P 0.4091 0.2500 0.5907  4 O 1.52-1.57
O 0.7235 0.5322 0.3381  1 P 1.57

***

A crystal of Mn2CdIr2 relaxed with PBEsol. Source: Alexandria, functional meta-GGA SCAN.

Output
The total energy comes out at -41.847 eV/atom. For the density of states at the Fermi level, the calculation gives 0.696 states/eV/atom. The mass density is 12.5 g/cm³. As for the formation energy: -0.023 eV/atom. The calculation puts the spin magnetization at 1.203 μB per atom.

Unit cell a=3.9190 b=3.9190 c=5.9364 alpha=109.27 beta=109.27 gamma=90.00
Last column: nearest neighbours and their distance in Å.
Atoms (fractional coordinates):
Ir 0.6152 0.6152 0.2305  4 Mn 2.42, 1 Ir 2.42
Mn 0.7500 0.2500 0.5000  4 Ir 2.42
Ir 0.3848 0.3848 0.7695  4 Mn 2.42, 1 Ir 2.42
Mn 0.2500 0.7500 0.5000  4 Ir 2.42
Cd 0.0000 0.0000 0.0000  8 Ir 3.02, 8 Mn 3.28

***

A crystal of ZrTc2Rh relaxed with PBEsol. Source: Alexandria, functional meta-GGA SCAN.

Output
The total energy comes out at -33.702 eV/atom. For the density of states at the Fermi level, the calculation gives 1.111 states/eV/atom. The mass density is 10.4 g/cm³. As for the formation energy: -0.055 eV/atom. The distance to the lowest polymorph of the same formula comes out at 0.1727 eV per atom. The calculation puts the spin magnetization at 0.000 μB per atom.

Unit cell a=2.8254 b=4.7195 c=4.6881 alpha=90.00 beta=90.00 gamma=95.68
Last column: nearest neighbours and their distance in Å.
Atoms (fractional coordinates):
Tc 0.3040 0.2535 0.0000  2 Tc 2.48-2.73, 2 Rh 2.71
Tc 0.6960 0.7465 0.0000  2 Tc 2.48-2.73, 2 Rh 2.71
Rh 0.5000 0.0000 0.5000  4 Zr 2.63-2.87, 4 Tc 2.71, 2 Rh 2.83
Zr 0.0000 0.5000 0.5000  4 Rh 2.63-2.87, 4 Tc 2.79, 2 Zr 2.83

***

A crystal of K3NbRh relaxed with PBEsol. Source: Alexandria, functional meta-GGA SCAN.

Output
The total energy comes out at -16.931 eV/atom. For the density of states at the Fermi level, the calculation gives 1.697 states/eV/atom. The mass density is 2.8 g/cm³. As for the formation energy: 1.447 eV/atom. The calculation puts the spin magnetization at 1.202 μB per atom.

Unit cell a=5.7343 b=5.7343 c=5.7343 alpha=90.00 beta=90.00 gamma=90.00
Last column: nearest neighbours and their distance in Å.
Atoms (fractional coordinates):
Rh 0.0000 0.0000 0.0000  6 K 2.87
K 0.5000 0.0000 0.0000  2 Rh 2.87
K 0.0000 0.5000 0.0000  2 Rh 2.87
Nb 0.5000 0.5000 0.5000  12 K 4.05
K 0.0000 0.0000 0.5000  2 Rh 2.87

***

A crystal of ZrMoRu relaxed with PBEsol. Source: Alexandria, functional meta-GGA SCAN.

Output
The total energy comes out at -33.595 eV/atom. For the density of states at the Fermi level, the calculation gives 0.618 states/eV/atom. The mass density is 9.7 g/cm³. As for the formation energy: -0.125 eV/atom. The distance to the lowest polymorph of the same formula comes out at 0.0000 eV per atom. The calculation puts the spin magnetization at 0.000 μB per atom.

Unit cell a=3.1982 b=3.1982 c=5.3158 alpha=107.51 beta=107.51 gamma=90.00
Last column: nearest neighbours and their distance in Å.
Atoms (fractional coordinates):
Mo 0.9927 0.9927 0.9853  4 Ru 2.70, 4 Zr 2.83
Ru 0.3387 0.3387 0.6774  4 Mo 2.70, 4 Zr 2.79
Zr 0.6687 0.6687 0.3373  4 Ru 2.79, 5 Mo 2.83-3.12

***

A crystal of Ta2FeRu relaxed with PBEsol. Source: Alexandria, functional meta-GGA SCAN.

Output
The total energy comes out at -46.831 eV/atom. For the density of states at the Fermi level, the calculation gives 0.540 states/eV/atom. The mass density is 14.6 g/cm³. As for the formation energy: -0.300 eV/atom. The calculation puts the spin magnetization at 0.413 μB per atom.

Unit cell a=4.3730 b=4.3730 c=4.3730 alpha=60.00 beta=60.00 gamma=60.00
Last column: nearest neighbours and their distance in Å.
Atoms (fractional coordinates):
Ta 0.2500 0.2500 0.2500  4 Fe 2.68, 4 Ru 2.68
Ta 0.7500 0.7500 0.7500  4 Fe 2.68, 4 Ru 2.68
Fe 0.0000 0.0000 0.0000  8 Ta 2.68
Ru 0.5000 0.5000 0.5000  8 Ta 2.68